Density functional theory data (GGA-PBE) for an optimized crystal structure of Si2NiRu.

It has space group R3m (No. 160, hexagonal axes), with a = 2.8722 Å, b = 2.8722 Å, c = 21.5246 Å, α = 90.00°, β = 90.00° and γ = 120.00°. The distinct sites, in fractional coordinates, are Si at (0.0000, 0.0000, 0.0000), Si at (0.0000, 0.0000, 0.1706), Ni at (0.0000, 0.0000, 0.5827) and Ru at (0.0000, 0.0000, 0.4206).

Its density of states at the Fermi level is 0.83 states/eV per atom. The value obtained for the electronic total energy is -6.84 eV per atom.